Density functional theory data (PBE-GGA) for a relaxed ZrCrIr2 crystal.

```
data_ZrCrIr2
_space_group_name_H-M_alt 'P 1'
_space_group_IT_number 1
_cell_length_a 4.7266
_cell_length_b 4.7266
_cell_length_c 4.7266
_cell_angle_alpha 127.63
_cell_angle_beta 127.63
_cell_angle_gamma 77.23
loop_
_space_group_symop_operation_xyz
'x,y,z'
loop_
_atom_site_label
_atom_site_type_symbol
_atom_site_fract_x
_atom_site_fract_y
_atom_site_fract_z
Zr1 Zr 0.0000 0.0000 0.0000
Cr1 Cr 0.5000 0.5000 0.0000
Ir1 Ir 0.2500 0.7500 0.5000
Ir2 Ir 0.7500 0.2500 0.5000
```

ΔE_f   -406 meV per atom
DFT total energy   -37.52 eV per cell
Relative energy among the computed polymorphs   81 meV/atom
Space group   I4/mmm (139)
Total magnetic moment   3.2 Bohr magnetons per cell
DOS at the Fermi energy   0.786 states/eV/atom


Density functional theory data (PBE-GGA) for a relaxed MoIr2 crystal.

```
data_MoIr2
_space_group_name_H-M_alt 'P 1'
_space_group_IT_number 1
_cell_length_a 12.2301
_cell_length_b 12.2301
_cell_length_c 12.2301
_cell_angle_alpha 166.97
_cell_angle_beta 166.97
_cell_angle_gamma 18.46
loop_
_space_group_symop_operation_xyz
'x,y,z'
loop_
_atom_site_label
_atom_site_type_symbol
_atom_site_fract_x
_atom_site_fract_y
_atom_site_fract_z
Mo1 Mo 0.3750 0.6250 0.7500
Mo2 Mo 0.6250 0.3750 0.2500
Ir1 Ir 0.0475 0.7975 0.2500
Ir2 Ir 0.2025 0.9525 0.2500
Ir3 Ir 0.7975 0.0475 0.7500
Ir4 Ir 0.9525 0.2025 0.7500
```

ΔE_f   -64 meV per atom
DFT total energy   -57.49 eV per cell
Space group   I4_1/amd (141)
Total magnetic moment   0.0 Bohr magnetons per cell
DOS at the Fermi energy   1.031 states/eV/atom


> Number 1 is which compound?

ZrCrIr2